Record 1
A plane-wave DFT calculation with PBE was carried out for a relaxed structure of Rb3Pr3ZrTe8.

## Properties
Total DFT energy (no corrections) = -4.676 eV per atom
Energy relative to the elements, uncorrected = -1.281 eV per atom
Volume = 41.844 Å³ per atom

Lattice parameters (Å, degrees): 9.0822 9.0822 26.3619 90.00 90.00 120.00
With the nearest neighbours (Å) after each atom.
Space group R-3m (No. 166, hexagonal axes)
Inequivalent atoms, fractional coordinates:
Rb1 0.0000 0.5000 0.0000 (multiplicity 9)  6 Te 3.67-3.69
Pr1 0.0000 0.5000 0.5000 (multiplicity 9)  6 Te 3.20-3.21
Zr1 0.0000 0.0000 0.5000 (multiplicity 3)  6 Te 2.98
Te1 0.0000 0.0000 0.2360 (multiplicity 6)  3 Pr 3.20
Te2 0.0231 0.5115 0.2316 (multiplicity 18)  1 Zr 2.98, 2 Pr 3.21

---

Record 2
A plane-wave DFT calculation with PBE was carried out for a relaxed structure of Al2PtAu.

## Properties
Total DFT energy (no corrections) = -4.436 eV per atom
Volume = 23.092 Å³ per atom
ΔH_f (0 K) = -22.7 kJ/mol of atoms

Lattice parameters (Å, degrees): 5.5833 5.5833 11.8523 90.00 90.00 90.00
With the nearest neighbours (Å) after each atom.
Space group I-42d (No. 122)
Inequivalent atoms, fractional coordinates:
Al1 0.2304 0.2500 0.1250 (multiplicity 8)  2 Pt 2.41, 2 Au 2.53
Pt1 0.0000 0.0000 0.0000 (multiplicity 4)  4 Al 2.41
Au1 0.0000 0.0000 0.5000 (multiplicity 4)  4 Al 2.53

---

Record 3
A plane-wave DFT calculation with PBE was carried out for a relaxed structure of CdNi3N.

## Properties
Total DFT energy (no corrections) = -4.909 eV per atom
Energy relative to the elements, uncorrected = 0.408 eV per atom
Volume = 12.850 Å³ per atom

Lattice parameters (Å, degrees): 6.8238 6.8238 9.5592 90.00 90.00 120.00
With the nearest neighbours (Å) after each atom.
Space group R-3c (No. 167, hexagonal axes)
Inequivalent atoms, fractional coordinates:
Cd1 0.0000 0.0000 0.0000 (multiplicity 6)  2 N 2.39
Ni1 0.0000 0.2580 0.2500 (multiplicity 18)  1 N 1.76
N1 0.0000 0.0000 0.2500 (multiplicity 6)  3 Ni 1.76

---

Record 4
A plane-wave DFT calculation with PBE was carried out for a relaxed structure of CaLaSmHg.

## Properties
Total DFT energy (no corrections) = -3.081 eV per atom
Volume = 31.421 Å³ per atom
ΔH_f (0 K) = -9.1 kJ/mol of atoms

Lattice parameters (Å, degrees): 7.9514 7.9514 7.9514 90.00 90.00 90.00
With the nearest neighbours (Å) after each atom.
Space group F-43m (No. 216)
Inequivalent atoms, fractional coordinates:
Ca1 0.0000 0.0000 0.0000 (multiplicity 4)  4 Sm 3.44, 4 La 3.44
La1 0.2500 0.2500 0.2500 (multiplicity 4)  4 Hg 3.44, 4 Ca 3.44
Sm1 0.2500 0.2500 0.7500 (multiplicity 4)  4 Hg 3.44, 4 Ca 3.44
Hg1 0.0000 0.0000 0.5000 (multiplicity 4)  4 La 3.44, 4 Sm 3.44

---

Record 5
A plane-wave DFT calculation with PBE was carried out for a relaxed structure of TaIrAu.

## Properties
Total DFT energy (no corrections) = -8.322 eV per atom
Volume = 16.580 Å³ per atom
ΔH_f (0 K) = -31.3 kJ/mol of atoms

Lattice parameters (Å, degrees): 2.9558 3.8638 8.7105 90.00 90.00 90.00
With the nearest neighbours (Å) after each atom.
Space group Imm2 (No. 44)
Inequivalent atoms, fractional coordinates:
Ta1 0.0000 0.0000 0.0000 (multiplicity 2)  5 Ir 2.76-3.05, 5 Au 2.83-2.87, 2 Ta 2.96
Ir1 0.0000 0.0000 0.3502 (multiplicity 2)  5 Ta 2.76-3.05, 5 Au 2.83-2.87, 2 Ir 2.96
Au1 0.0000 0.0000 0.6750 (multiplicity 2)  5 Ir 2.83-2.87, 5 Ta 2.83-2.87, 2 Au 2.96

---

Record 6
A plane-wave DFT calculation with PBE was carried out for a relaxed structure of LaVN3.

## Properties
Total DFT energy (no corrections) = -8.436 eV per atom
Energy relative to the elements, uncorrected = -0.632 eV per atom
Volume = 14.701 Å³ per atom

Lattice parameters (Å, degrees): 3.5762 6.2943 6.5310 90.00 90.00 90.00
With the nearest neighbours (Å) after each atom.
Space group Amm2 (No. 38)
Inequivalent atoms, fractional coordinates:
La1 0.0000 0.0000 0.0000 (multiplicity 2)  6 N 2.37-2.62
V1 0.5000 0.0000 0.4952 (multiplicity 2)  1 N 1.68
N1 0.0000 0.1143 0.6145 (multiplicity 4)  1 N 1.44
N2 0.5000 0.0000 0.2383 (multiplicity 2)  1 V 1.68

---

Record 7
A plane-wave DFT calculation with PBE was carried out for a relaxed structure of SmTm2Ga2.

## Properties
Total DFT energy (no corrections) = -4.296 eV per atom
Volume = 26.297 Å³ per atom
ΔH_f (0 K) = -34.0 kJ/mol of atoms

Lattice parameters (Å, degrees): 5.3962 4.0120 12.2139 90.00 96.02 90.00
With the nearest neighbours (Å) after each atom.
Space group P2_1/m (No. 11)
Inequivalent atoms, fractional coordinates:
Sm1 0.1691 0.2500 0.2295 (multiplicity 2)  3 Ga 3.15-3.42
Tm1 0.2417 0.7500 0.4696 (multiplicity 2)  4 Ga 3.01-3.09
Tm2 0.3535 0.2500 0.8916 (multiplicity 2)  5 Ga 2.81-2.93
Ga1 0.1392 0.7500 0.0295 (multiplicity 2)  2 Ga 2.56, 1 Tm 2.81
Ga2 0.2876 0.2500 0.6540 (multiplicity 2)  5 Tm 2.89-3.09

---

Record 8
A plane-wave DFT calculation with PBE was carried out for a relaxed structure of LaTbNd4Dy2.

## Properties
Total DFT energy (no corrections) = -4.711 eV per atom
Volume = 34.109 Å³ per atom
ΔH_f (0 K) = 1.7 kJ/mol of atoms

Lattice parameters (Å, degrees): 6.2907 3.6558 12.0558 90.00 100.20 90.00
With the nearest neighbours (Å) after each atom.
Space group P2/m (No. 10)
Inequivalent atoms, fractional coordinates:
La1 0.0000 0.0000 0.0000 (multiplicity 1)  4 Tb 3.64, 2 La 3.66, 6 Nd 3.66-3.68
Tb1 0.5000 0.5000 0.0000 (multiplicity 1)  4 La 3.64, 2 Tb 3.66, 6 Nd 3.66-3.68
Nd1 0.2497 0.0000 0.7476 (multiplicity 2)  3 Dy 3.61, 6 Nd 3.63-3.66, 2 Tb 3.66, 1 La 3.66
Nd2 0.2516 0.5000 0.2544 (multiplicity 2)  3 Dy 3.59-3.60, 6 Nd 3.63-3.66, 2 La 3.68, 1 Tb 3.68
Dy1 0.0000 0.5000 0.5000 (multiplicity 1)  6 Nd 3.60-3.61, 6 Dy 3.64-3.66
Dy2 0.5000 0.0000 0.5000 (multiplicity 1)  6 Nd 3.59-3.61, 6 Dy 3.64-3.66